1.
Below is a relaxed structure of ScBiRh3, with properties calculated at the PBE level.

```
data_ScBiRh3
_cell_length_a 4.709
_cell_length_b 4.709
_cell_length_c 4.709
_cell_angle_alpha 90.00
_cell_angle_beta 90.00
_cell_angle_gamma 90.00
_space_group_name_H-M_alt 'P m -3 m'
_space_group_IT_number 221
_space_group_name_Hall '-P 4 2 3'
loop_
_atom_site_label
_atom_site_fract_x
_atom_site_fract_y
_atom_site_fract_z
Sc1 0.000 0.000 0.000
Bi1 0.500 0.500 0.500
Rh1 0.000 0.000 0.500
```

Properties
Fermi-level density of states = 1.513 states/eV/atom
E above lowest polymorph = 0 meV/atom
E_form = 2.55 eV/f.u.
Magnetic moment = 0.00 μB/f.u.
Energy = -5.94 eV/atom

2.
Below is a relaxed structure of Sc2Bi2Rh, with properties calculated at the PBE level.

```
data_Sc2Bi2Rh
_cell_length_a 7.276
_cell_length_b 7.276
_cell_length_c 4.391
_cell_angle_alpha 90.00
_cell_angle_beta 90.00
_cell_angle_gamma 90.00
_space_group_name_H-M_alt 'P 4/m b m'
_space_group_IT_number 127
_space_group_name_Hall '-P 4 2ab'
loop_
_atom_site_label
_atom_site_fract_x
_atom_site_fract_y
_atom_site_fract_z
Sc1 0.160 0.340 0.000
Bi1 0.153 0.653 0.500
Rh1 0.000 0.000 0.500
```

Properties
Fermi-level density of states = 0.872 states/eV/atom
E_form = -1.73 eV/f.u.
Magnetic moment = 0.00 μB/f.u.
Energy = -5.90 eV/atom

3.
Below is a relaxed structure of Sc2BiRh2, with properties calculated at the PBE level.

```
data_Sc2BiRh2
_cell_length_a 7.662
_cell_length_b 7.662
_cell_length_c 3.272
_cell_angle_alpha 90.00
_cell_angle_beta 90.00
_cell_angle_gamma 90.00
_space_group_name_H-M_alt 'P 4/m b m'
_space_group_IT_number 127
_space_group_name_Hall '-P 4 2ab'
loop_
_atom_site_label
_atom_site_fract_x
_atom_site_fract_y
_atom_site_fract_z
Sc1 0.161 0.339 0.000
Bi1 0.000 0.000 0.500
Rh1 0.133 0.633 0.500
```

Properties
Fermi-level density of states = 0.467 states/eV/atom
E above lowest polymorph = 0 meV/atom
E_form = -3.64 eV/f.u.
Magnetic moment = 0.00 μB/f.u.
Energy = -6.98 eV/atom

4.
Below is a relaxed structure of Sc7Bi2Rh2, with properties calculated at the PBE level.

```
data_Sc7Bi2Rh2
_cell_length_a 3.567
_cell_length_b 15.406
_cell_length_c 9.200
_cell_angle_alpha 90.00
_cell_angle_beta 90.00
_cell_angle_gamma 90.00
_space_group_name_H-M_alt 'I m m 2'
_space_group_IT_number 44
_space_group_name_Hall 'I 2 -2'
loop_
_atom_site_label
_atom_site_fract_x
_atom_site_fract_y
_atom_site_fract_z
Sc1 0.000 0.000 0.000
Sc2 0.000 0.135 0.564
Sc3 0.000 0.319 0.359
Sc4 0.000 0.344 0.724
Bi1 0.000 0.000 0.325
Bi2 0.000 0.500 0.227
Rh1 0.000 0.237 0.052
```

Properties
Fermi-level density of states = 1.033 states/eV/atom
E_form = -6.68 eV/f.u.
Magnetic moment = 0.00 μB/f.u.
Energy = -6.68 eV/atom

5.
Below is a relaxed structure of Bi3RhSe, with properties calculated at the PBE level.

```
data_Bi3RhSe
_cell_length_a 5.437
_cell_length_b 5.437
_cell_length_c 5.437
_cell_angle_alpha 90.00
_cell_angle_beta 90.00
_cell_angle_gamma 90.00
_space_group_name_H-M_alt 'P m -3 m'
_space_group_IT_number 221
_space_group_name_Hall '-P 4 2 3'
loop_
_atom_site_label
_atom_site_fract_x
_atom_site_fract_y
_atom_site_fract_z
Bi1 0.000 0.000 0.500
Rh1 0.500 0.500 0.500
Se1 0.000 0.000 0.000
```

Properties
Fermi-level density of states = 0.110 states/eV/atom
Raw formation energy = 961.9 meV/atom
E above lowest polymorph = 658 meV/atom
Magnetic moment = 0.00 μB/f.u.
Energy = -3.53 eV/atom

6.
Below is a relaxed structure of BiRh2Se2, with properties calculated at the PBE level.

```
data_BiRh2Se2
_cell_length_a 4.192
_cell_length_b 4.192
_cell_length_c 11.305
_cell_angle_alpha 90.00
_cell_angle_beta 90.00
_cell_angle_gamma 90.00
_space_group_name_H-M_alt 'I 4/m m m'
_space_group_IT_number 139
_space_group_name_Hall '-I 4 2'
loop_
_atom_site_label
_atom_site_fract_x
_atom_site_fract_y
_atom_site_fract_z
Bi1 0.000 0.000 0.000
Rh1 0.000 0.000 0.381
Se1 0.000 0.500 0.250
```

Properties
Fermi-level density of states = 0.655 states/eV/atom
Raw formation energy = 9.0 meV/atom
E above lowest polymorph = 315 meV/atom
Magnetic moment = 0.00 μB/f.u.
Energy = -5.10 eV/atom

7.
Below is a relaxed structure of Bi3Rh4Se, with properties calculated at the PBE level.

```
data_Bi3Rh4Se
_cell_length_a 5.565
_cell_length_b 9.215
_cell_length_c 6.818
_cell_angle_alpha 90.00
_cell_angle_beta 90.00
_cell_angle_gamma 90.00
_space_group_name_H-M_alt 'I m m 2'
_space_group_IT_number 44
_space_group_name_Hall 'I 2 -2'
loop_
_atom_site_label
_atom_site_fract_x
_atom_site_fract_y
_atom_site_fract_z
Bi1 0.000 0.000 0.000
Bi2 0.000 0.272 0.670
Rh1 0.000 0.256 0.273
Rh2 0.239 0.000 0.355
Se1 0.000 0.500 0.143
```

Properties
Fermi-level density of states = 1.051 states/eV/atom
Raw formation energy = -38.4 meV/atom
Magnetic moment = 0.00 μB/f.u.
Energy = -5.61 eV/atom

8.
Below is a relaxed structure of BiRh2Se2, with properties calculated at the PBE level.

```
data_BiRh2Se2
_cell_length_a 6.368
_cell_length_b 3.912
_cell_length_c 8.875
_cell_angle_alpha 90.00
_cell_angle_beta 103.43
_cell_angle_gamma 90.00
_space_group_name_H-M_alt 'P 1 21/m 1'
_space_group_IT_number 11
_space_group_name_Hall '-P 2yb'
loop_
_atom_site_label
_atom_site_fract_x
_atom_site_fract_y
_atom_site_fract_z
Bi1 0.028 0.250 0.348
Rh1 0.150 0.750 0.166
Rh2 0.326 0.750 0.509
Se1 0.221 0.250 0.003
Se2 0.462 0.250 0.692
```

Properties
Fermi-level density of states = 0.573 states/eV/atom
Raw formation energy = -306.2 meV/atom
E above lowest polymorph = 0 meV/atom
Magnetic moment = 0.00 μB/f.u.
Energy = -5.42 eV/atom

9.
Below is a relaxed structure of BiRhSe4, with properties calculated at the PBE level.

```
data_BiRhSe4
_cell_length_a 7.780
_cell_length_b 5.913
_cell_length_c 6.034
_cell_angle_alpha 90.00
_cell_angle_beta 90.27
_cell_angle_gamma 90.00
_space_group_name_H-M_alt 'P 1 21/c 1'
_space_group_IT_number 14
_space_group_name_Hall '-P 2ybc'
loop_
_atom_site_label
_atom_site_fract_x
_atom_site_fract_y
_atom_site_fract_z
Bi1 0.000 0.000 0.000
Rh1 0.500 0.000 0.500
Se1 0.182 0.056 0.568
Se2 0.411 0.616 0.620
```

Properties
Fermi-level density of states = 0.123 states/eV/atom
Raw formation energy = -258.8 meV/atom
Magnetic moment = 0.00 μB/f.u.
Energy = -4.45 eV/atom

10.
Below is a relaxed structure of Bi3RhSe, with properties calculated at the PBE level.

```
data_Bi3RhSe
_cell_length_a 5.307
_cell_length_b 5.307
_cell_length_c 5.307
_cell_angle_alpha 90.00
_cell_angle_beta 90.00
_cell_angle_gamma 90.00
_space_group_name_H-M_alt 'P m -3 m'
_space_group_IT_number 221
_space_group_name_Hall '-P 4 2 3'
loop_
_atom_site_label
_atom_site_fract_x
_atom_site_fract_y
_atom_site_fract_z
Bi1 0.000 0.000 0.500
Rh1 0.000 0.000 0.000
Se1 0.500 0.500 0.500
```

Properties
Fermi-level density of states = 0.781 states/eV/atom
Raw formation energy = 303.7 meV/atom
E above lowest polymorph = 0 meV/atom
Magnetic moment = 0.00 μB/f.u.
Energy = -4.19 eV/atom

11.
Below is a relaxed structure of BiRhSe, with properties calculated at the PBE level.

```
data_BiRhSe
_cell_length_a 6.458
_cell_length_b 6.458
_cell_length_c 6.458
_cell_angle_alpha 90.00
_cell_angle_beta 90.00
_cell_angle_gamma 90.00
_space_group_name_H-M_alt 'F -4 3 m'
_space_group_IT_number 216
_space_group_name_Hall 'F -4 2 3'
loop_
_atom_site_label
_atom_site_fract_x
_atom_site_fract_y
_atom_site_fract_z
Bi1 0.000 0.000 0.000
Rh1 0.250 0.250 0.750
Se1 0.000 0.000 0.500
```

Properties
Fermi-level density of states = 0.472 states/eV/atom
Raw formation energy = -240.5 meV/atom
Magnetic moment = 0.00 μB/f.u.
Energy = -5.15 eV/atom

12.
Below is a relaxed structure of BiRh3Se, with properties calculated at the PBE level.

```
data_BiRh3Se
_cell_length_a 4.978
_cell_length_b 4.978
_cell_length_c 4.978
_cell_angle_alpha 90.00
_cell_angle_beta 90.00
_cell_angle_gamma 90.00
_space_group_name_H-M_alt 'P m -3 m'
_space_group_IT_number 221
_space_group_name_Hall '-P 4 2 3'
loop_
_atom_site_label
_atom_site_fract_x
_atom_site_fract_y
_atom_site_fract_z
Bi1 0.000 0.000 0.000
Rh1 0.000 0.000 0.500
Se1 0.500 0.500 0.500
```

Properties
Fermi-level density of states = 2.195 states/eV/atom
Raw formation energy = 1318.6 meV/atom
E above lowest polymorph = 1049 meV/atom
Magnetic moment = 1.25 μB/f.u.
Energy = -4.57 eV/atom